1.
A relaxed structure of Cu2PtBr6. Source: the Alexandria database, functional PBE-GGA.

Cell: 6.5200 9.4933 9.4933 Å, 73.36 86.48 86.48°
Sites, in units of the cell vectors:
1 Pt 0.7500 0.9150 0.0850
2 Pt 0.2500 0.0850 0.9150
3 Br 0.6729 0.2596 0.4371
4 Br 0.8271 0.5629 0.7404
5 Br 0.4058 0.3373 0.8461
6 Br 0.0942 0.1539 0.6627
7 Br 0.9193 0.1695 0.0202
8 Br 0.0807 0.8305 0.9798
9 Br 0.5942 0.6627 0.1539
10 Br 0.5807 0.9798 0.8305
11 Br 0.4193 0.0202 0.1695
12 Br 0.1729 0.4371 0.2596
13 Br 0.3271 0.7404 0.5629
14 Br 0.9058 0.8461 0.3373
15 Cu 0.3120 0.2757 0.4727
16 Cu 0.1880 0.5273 0.7243
17 Cu 0.8120 0.4727 0.2757
18 Cu 0.6880 0.7243 0.5273

Values from the calculation:
total moment: 0.00 μB/cell
ΔE_f (raw): -0.255 eV per atom
symmetry: No. 15


2.
A relaxed structure of ThInSe. Source: the Alexandria database, functional PBE-GGA.

Cell: 4.1996 4.1996 9.5064 Å, 102.76 102.76 90.00°
Sites, in units of the cell vectors:
1 In 0.0000 0.5000 0.0000
2 In 0.5000 0.0000 0.0000
3 Th 0.3526 0.3526 0.7051
4 Th 0.6474 0.6474 0.2949
5 Se 0.8157 0.8157 0.6314
6 Se 0.1843 0.1843 0.3686

Values from the calculation:
total moment: 0.00 μB/cell
ΔE_f (raw): -1.047 eV per atom
symmetry: No. 139


3.
A relaxed structure of Ag3IrCl7. Source: the Alexandria database, functional PBE-GGA.

Cell: 7.1766 7.1766 7.3859 Å, 64.53 64.53 64.58°
Sites, in units of the cell vectors:
1 Cl 0.6779 0.1225 0.1902
2 Cl 0.9054 0.9054 0.8079
3 Cl 0.5044 0.5044 0.5650
4 Cl 0.1225 0.6779 0.1902
5 Cl 0.9479 0.3838 0.7362
6 Cl 0.1405 0.1405 0.1525
7 Cl 0.3838 0.9479 0.7362
8 Ag 0.7468 0.1500 0.4970
9 Ag 0.1500 0.7468 0.4970
10 Ag 0.5112 0.5112 0.9141
11 Ir 0.0345 0.0345 0.9640

Values from the calculation:
total moment: 0.00 μB/cell
ΔE_f (raw): -0.422 eV per atom
symmetry: No. 8


4.
A relaxed structure of LaH3Ir. Source: the Alexandria database, functional PBE-GGA.

Cell: 4.1263 4.1263 7.6835 Å, 90.00 90.00 120.00°
Sites, in units of the cell vectors:
1 H 0.0000 0.0000 0.2500
2 H 0.0000 0.0000 0.7500
3 H 0.6667 0.3333 0.9268
4 H 0.3333 0.6667 0.4268
5 H 0.6667 0.3333 0.5732
6 H 0.3333 0.6667 0.0732
7 La 0.6667 0.3333 0.2500
8 La 0.3333 0.6667 0.7500
9 Ir 0.0000 0.0000 0.0000
10 Ir 0.0000 0.0000 0.5000

Values from the calculation:
total moment: 0.00 μB/cell
symmetry: No. 194
E: -24.5 eV/f.u.